# PmPr8Dy5

A relaxed structure of PmPr8Dy5 (PBE, the Alexandria database).

a = 8.641 Å, b = 8.641 Å, c = 8.641 Å
α = 111.40°, β = 111.40°, γ = 105.67°
Sites, in units of the cell vectors:
Pm  0.000  0.000  0.000
Pr  0.091  0.683  0.768
Pr  0.279  0.522  0.104
Pr  0.317  0.085  0.408
Pr  0.418  0.175  0.896
Pr  0.478  0.582  0.758
Pr  0.677  0.909  0.592
Pr  0.825  0.721  0.242
Pr  0.915  0.323  0.232
Dy  0.026  0.215  0.595
Dy  0.250  0.750  0.500
Dy  0.569  0.974  0.188
Dy  0.619  0.431  0.405
Dy  0.785  0.381  0.812

Properties
VASP energy (eV per atom): -4.4772
Energy of formation from the pure elements (eV per atom): 0.24